! PBE with a Hubbard U NiRhO3, relaxed; values from VASP
&SYSTEM
  ibrav = 0, nat = 5, ntyp = 3
/
ATOMIC_SPECIES
Ni 58.69 Ni.upf
Rh 102.91 Rh.upf
O 16.00 O.upf
CELL_PARAMETERS angstrom
-1.528 1.982 4.691
1.528 -1.982 4.691
1.528 1.982 -4.691
ATOMIC_POSITIONS angstrom
Ni 0.000 0.000 0.000
Rh 0.000 0.000 2.878
O 1.528 0.000 1.562
O 1.528 0.000 4.238
O 0.000 1.982 3.324
! Fermi-level density of states ... 2.10 states/eV per cell
! M_tot ... 2.79 μB/cell
! Calculated total energy ... -28.46 eV/f.u.
! Crystal system ... orthorhombic